A plane-wave DFT calculation with GGA-PBE was carried out for an optimized crystal structure of Cs2HfGa2.

Lattice parameters (Å, degrees): 3.697 3.697 13.779 82.29 82.29 90.00
Positions (direct):
Cs1 0.380 0.380 0.241
Cs2 0.620 0.620 0.759
Hf1 0.000 0.000 0.000
Ga1 0.750 0.250 0.500
Ga2 0.250 0.750 0.500

Values from the calculation:
The density of states at the Fermi level is 0.48 states/eV/atom. Its calculated formation energy is 0.72 eV/atom. The energy above the most stable polymorph in this dataset is 0 meV/atom.